[1]
Below is a geometry-optimized PuCoIr structure, with properties calculated at the GGA-PBE level.

Output
As for the space group: F-43m, No. 216. The calculation puts the formation energy at 0.4098 eV per atom. For the total energy, the calculation gives -9.62 eV/atom.

Cell lengths 4.1725, 4.1725, 4.1725 Å; angles 60.00, 60.00, 60.00 degrees
With the nearest neighbours (Å) after each atom.
Sites, in units of the cell vectors:
Pu 0.0000 0.0000 0.0000  4 Co 2.56
Co 0.7500 0.7500 0.7500  4 Ir 2.56, 4 Pu 2.56
Ir 0.5000 0.5000 0.5000  4 Co 2.56



[2]
Below is a geometry-optimized CoRe2Ir structure, with properties calculated at the GGA-PBE level.

Output
As for the space group: P222_1, No. 17. The calculation puts the formation energy at 0.3242 eV per atom. The excess energy over the best structure of this formula in the dataset comes out at 0.076 eV/atom. For the total energy, the calculation gives -9.88 eV/atom.

Cell lengths 4.4383, 4.4864, 5.6534 Å; angles 90.00, 90.00, 90.00 degrees
With the nearest neighbours (Å) after each atom.
Sites, in units of the cell vectors:
Co 0.0000 0.0015 0.2500  4 Ir 2.62-2.65, 4 Re 2.65-2.66, 2 Co 2.83
Co 0.0000 0.9985 0.7500  4 Ir 2.62-2.65, 4 Re 2.65-2.66, 2 Co 2.83
Re 0.0013 0.5000 0.5000  6 Re 2.63-2.83, 4 Co 2.65-2.66
Re 0.5000 0.4998 0.2500  6 Re 2.63-2.83, 4 Ir 2.65
Re 0.5000 0.5002 0.7500  6 Re 2.63-2.83, 4 Ir 2.65
Re 0.9987 0.5000 0.0000  6 Re 2.63-2.83, 4 Co 2.65-2.66
Ir 0.4959 0.0000 0.5000  4 Co 2.62-2.65, 4 Re 2.65, 2 Ir 2.83
Ir 0.5041 0.0000 0.0000  4 Co 2.62-2.65, 4 Re 2.65, 2 Ir 2.83



[3]
Below is a geometry-optimized CoRe6Ir structure, with properties calculated at the GGA-PBE level.

Output
As for the space group: P-6m2, No. 187. The calculation puts the formation energy at -0.1285 eV per atom. For the total energy, the calculation gives -11.44 eV/atom.

Cell lengths 5.4889, 5.4889, 4.3638 Å; angles 90.00, 90.00, 120.00 degrees
With the nearest neighbours (Å) after each atom.
Sites, in units of the cell vectors:
Co 0.0000 0.0000 0.0000  12 Re 2.69-2.74
Re 0.3327 0.1663 0.5000  8 Re 2.68-2.75, 2 Co 2.69, 2 Ir 2.74
Re 0.5050 0.0101 0.0000  8 Re 2.66-2.83, 2 Ir 2.72, 2 Co 2.74
Re 0.5050 0.4950 0.0000  8 Re 2.66-2.83, 2 Ir 2.72, 2 Co 2.74
Re 0.8337 0.1663 0.5000  8 Re 2.68-2.75, 2 Co 2.69, 2 Ir 2.74
Re 0.8337 0.6673 0.5000  8 Re 2.68-2.75, 2 Co 2.69, 2 Ir 2.74
Re 0.9899 0.4950 0.0000  8 Re 2.66-2.83, 2 Ir 2.72, 2 Co 2.74
Ir 0.3333 0.6667 0.5000  12 Re 2.72-2.74



[4]
Below is a geometry-optimized CoReSnIr structure, with properties calculated at the GGA-PBE level.

Output
As for the space group: F-43m, No. 216. The excess energy over the best structure of this formula in the dataset comes out at 0.000 eV/atom. For the total energy, the calculation gives -7.73 eV/atom.

Cell lengths 4.4031, 4.4031, 4.4031 Å; angles 60.00, 60.00, 60.00 degrees
With the nearest neighbours (Å) after each atom.
Sites, in units of the cell vectors:
Co 0.0000 0.0000 0.0000  4 Sn 2.70, 4 Ir 2.70
Re 0.5000 0.5000 0.5000  4 Sn 2.70, 4 Ir 2.70
Sn 0.7500 0.7500 0.7500  4 Co 2.70, 4 Re 2.70
Ir 0.2500 0.2500 0.2500  4 Re 2.70, 4 Co 2.70



Result set for theoretical density: 16.01 18.40 19.96 15.30 g/cm3, one per record in the order listed.